CdFe3C4O12 | PBE with a Hubbard U | relaxed

Results
size of the total moment: 12.0 Bohr magnetons per cell
crystal system: trigonal
raw total energy: -7.125 eV per atom
DOS at the Fermi energy: 0.000 states/eV per atom

Lattice parameters (Å, degrees): 6.210 6.210 6.210 102.68 102.68 102.68
Site moments in Bohr magnetons follow the coordinates.
Positions (direct):
C 0.962 0.038 0.500  0.01
C 0.038 0.500 0.962  0.01
C 0.500 0.500 0.500  0.01
C 0.500 0.962 0.038  0.01
O 0.373 0.972 0.178  0.02
O 0.972 0.178 0.373  0.02
O 0.634 0.500 0.366  0.04
O 0.366 0.634 0.500  0.04
O 0.822 0.028 0.627  0.02
O 0.904 0.500 0.096  0.04
O 0.627 0.822 0.028  0.02
O 0.028 0.627 0.822  0.02
O 0.096 0.904 0.500  0.04
O 0.500 0.366 0.634  0.04
O 0.500 0.096 0.904  0.04
O 0.178 0.373 0.972  0.02
Cd 0.000 0.000 0.000  0.01
Fe 0.000 0.537 0.463  3.79
Fe 0.537 0.463 0.000  3.79
Fe 0.463 0.000 0.537  3.79